A.
Material: Ho2OsPb
Method: DFT, PBE
State: relaxed

symmetry = No. 166
total magnetic moment = 0.002 Bohr magnetons per cell
DOS at the Fermi energy = 2.967 states/eV/f.u.

```
Ho2OsPb
1.0
3.521 0.000 0.000
-1.760 3.049 0.000
0.000 0.000 28.051
Ho Os Pb
6 3 3
direct
0.000 0.000 0.237
0.000 0.000 0.763
0.333 0.667 0.430
0.333 0.667 0.903
0.667 0.333 0.097
0.667 0.333 0.570
0.000 0.000 0.500
0.333 0.667 0.167
0.667 0.333 0.833
0.000 0.000 0.000
0.333 0.667 0.667
0.667 0.333 0.333
```

=====

B.
Material: Ho2OsPb
Method: DFT, PBE
State: relaxed

symmetry = No. 123
total magnetic moment = 0.000 Bohr magnetons per cell
DOS at the Fermi energy = 2.140 states/eV/f.u.

```
Ho2OsPb
1.0
3.388 0.000 0.000
0.000 3.388 0.000
0.000 0.000 8.450
Ho Os Pb
2 1 1
direct
0.000 0.000 0.196
0.000 0.000 0.804
0.500 0.500 0.000
0.500 0.500 0.500
```

=====

Stability summary: most stable B, least stable A.

=====

A.
Material: Ho8OsPd2
Method: DFT, PBE
State: relaxed

symmetry = No. 8
total magnetic moment = 0.000 Bohr magnetons per cell
DOS at the Fermi energy = 11.735 states/eV/f.u.

```
Ho8OsPd2
1.0
4.117 -6.476 0.000
4.117 6.476 0.000
-2.109 0.000 5.550
Ho Os Pd
8 1 2
direct
0.000 0.000 0.000
0.021 0.269 0.588
0.151 0.565 0.177
0.269 0.021 0.588
0.439 0.687 0.790
0.565 0.151 0.177
0.687 0.439 0.790
0.709 0.709 0.351
0.355 0.355 0.013
0.043 0.657 0.674
0.657 0.043 0.674
```

=====

B.
Material: Ho8OsPd2
Method: DFT, PBE
State: relaxed

symmetry = No. 12
total magnetic moment = 0.000 Bohr magnetons per cell
DOS at the Fermi energy = 12.141 states/eV/f.u.

```
Ho8OsPd2
1.0
8.574 -2.526 0.000
8.574 2.526 0.000
-1.955 0.000 6.467
Ho Os Pd
8 1 2
direct
0.031 0.031 0.295
0.200 0.200 0.813
0.335 0.335 0.531
0.409 0.409 0.063
0.591 0.591 0.937
0.665 0.665 0.469
0.800 0.800 0.187
0.969 0.969 0.705
0.500 0.500 0.500
0.187 0.187 0.212
0.813 0.813 0.788
```

=====

Stability summary: most stable B, least stable A.

=====

A.
Material: PmHo3Os
Method: DFT, PBE
State: relaxed

symmetry = No. 12
total magnetic moment = 0.303 Bohr magnetons per cell
DOS at the Fermi energy = 6.019 states/eV/f.u.

```
PmHo3Os
1.0
8.693 -1.816 0.000
8.693 1.816 0.000
-2.580 0.000 9.168
Pm Ho Os
2 6 2
direct
0.193 0.193 0.308
0.807 0.807 0.692
0.184 0.184 0.874
0.403 0.403 0.455
0.499 0.499 0.824
0.501 0.501 0.176
0.597 0.597 0.545
0.816 0.816 0.126
0.364 0.364 0.937
0.636 0.636 0.063
```

=====

B.
Material: PmHo3Os
Method: DFT, PBE
State: relaxed

symmetry = No. 31
total magnetic moment = 0.000 Bohr magnetons per cell
DOS at the Fermi energy = 5.559 states/eV/f.u.

```
PmHo3Os
1.0
7.688 0.000 0.000
0.000 6.445 0.000
0.000 0.000 6.258
Pm Ho Os
2 6 2
direct
0.000 0.153 0.000
0.500 0.847 0.500
0.000 0.840 0.493
0.249 0.323 0.497
0.251 0.677 0.997
0.500 0.160 0.993
0.749 0.677 0.997
0.751 0.323 0.497
0.000 0.503 0.746
0.500 0.497 0.246
```

=====

Stability summary: most stable B, least stable A.

=====

A.
Material: PmHoOs
Method: DFT, PBE
State: relaxed

symmetry = No. 2
total magnetic moment = 0.000 Bohr magnetons per cell
DOS at the Fermi energy = 1.431 states/eV/f.u.

```
PmHoOs
1.0
3.428 0.000 0.000
0.008 6.832 0.000
1.699 1.750 6.745
Pm Ho Os
2 2 2
direct
0.126 0.067 0.246
0.874 0.933 0.754
0.120 0.561 0.257
0.880 0.439 0.743
0.499 0.254 0.501
0.501 0.746 0.499
```

=====

B.
Material: PmHoOs
Method: DFT, PBE
State: relaxed

symmetry = No. 216
total magnetic moment = 0.000 Bohr magnetons per cell
DOS at the Fermi energy = 1.858 states/eV/f.u.

```
PmHoOs
1.0
6.825 0.000 0.000
0.000 6.825 0.000
0.000 0.000 6.825
Pm Ho Os
4 4 4
direct
0.000 0.000 0.000
0.000 0.500 0.500
0.500 0.000 0.500
0.500 0.500 0.000
0.000 0.000 0.500
0.000 0.500 0.000
0.500 0.000 0.000
0.500 0.500 0.500
0.250 0.250 0.750
0.250 0.750 0.250
0.750 0.250 0.250
0.750 0.750 0.750
```

=====

Stability summary: most stable A, least stable B.

=====

A.
Material: PmHoOs
Method: DFT, PBE
State: relaxed

symmetry = No. 14
total magnetic moment = 0.000 Bohr magnetons per cell
DOS at the Fermi energy = 1.766 states/eV/f.u.

```
PmHoOs
1.0
5.501 0.000 0.000
0.000 7.715 0.000
-0.389 0.000 7.204
Pm Ho Os
4 4 4
direct
0.147 0.200 0.010
0.147 0.300 0.510
0.853 0.700 0.490
0.853 0.800 0.990
0.342 0.614 0.182
0.342 0.886 0.682
0.658 0.114 0.318
0.658 0.386 0.818
0.158 0.545 0.812
0.158 0.955 0.312
0.842 0.045 0.688
0.842 0.455 0.188
```

=====

B.
Material: PmHoOs
Method: DFT, PBE
State: relaxed

symmetry = No. 107
total magnetic moment = 0.000 Bohr magnetons per cell
DOS at the Fermi energy = 1.635 states/eV/f.u.

```
PmHoOs
1.0
3.425 0.000 0.000
0.000 3.425 0.000
0.000 0.000 13.434
Pm Ho Os
2 2 2
direct
0.000 0.000 0.000
0.500 0.500 0.500
0.000 0.000 0.750
0.500 0.500 0.250
0.000 0.000 0.370
0.500 0.500 0.870
```

=====

Stability summary: most stable B, least stable A.

=====

A.
Material: Pr2HoOs
Method: DFT, PBE
State: relaxed

symmetry = No. 166
total magnetic moment = 0.007 Bohr magnetons per cell
DOS at the Fermi energy = 5.576 states/eV/f.u.

```
Pr2HoOs
1.0
3.610 0.000 0.000
-1.805 3.126 0.000
0.000 0.000 32.810
Pr Ho Os
6 3 3
direct
0.000 0.000 0.106
0.000 0.000 0.894
0.333 0.667 0.561
0.333 0.667 0.772
0.667 0.333 0.228
0.667 0.333 0.439
0.000 0.000 0.000
0.333 0.667 0.667
0.667 0.333 0.333
0.000 0.000 0.500
0.333 0.667 0.167
0.667 0.333 0.833
```

=====

B.
Material: Pr2HoOs
Method: DFT, PBE
State: relaxed

symmetry = No. 62
total magnetic moment = 0.000 Bohr magnetons per cell
DOS at the Fermi energy = 3.782 states/eV/f.u.

```
Pr2HoOs
1.0
7.467 0.000 0.000
0.000 9.595 0.000
0.000 0.000 6.483
Pr Ho Os
8 4 4
direct
0.176 0.065 0.172
0.176 0.435 0.172
0.324 0.565 0.672
0.324 0.935 0.672
0.676 0.065 0.328
0.676 0.435 0.328
0.824 0.565 0.828
0.824 0.935 0.828
0.044 0.250 0.644
0.456 0.750 0.144
0.544 0.250 0.856
0.956 0.750 0.356
0.116 0.750 0.966
0.384 0.250 0.466
0.616 0.750 0.534
0.884 0.250 0.034
```

=====

Stability summary: most stable B, least stable A.

=====

A.
Material: Ho2OsPt
Method: DFT, PBE
State: relaxed

symmetry = No. 123
total magnetic moment = 0.000 Bohr magnetons per cell
DOS at the Fermi energy = 1.376 states/eV/f.u.

```
Ho2OsPt
1.0
3.457 0.000 0.000
0.000 3.457 0.000
0.000 0.000 6.741
Ho Os Pt
2 1 1
direct
0.000 0.000 0.244
0.000 0.000 0.756
0.500 0.500 0.000
0.500 0.500 0.500
```

=====

B.
Material: Ho2OsPt
Method: DFT, PBE
State: relaxed

symmetry = No. 225
total magnetic moment = 0.000 Bohr magnetons per cell
DOS at the Fermi energy = 1.683 states/eV/f.u.

```
Ho2OsPt
1.0
6.856 0.000 0.000
0.000 6.856 0.000
0.000 0.000 6.856
Ho Os Pt
8 4 4
direct
0.250 0.250 0.250
0.250 0.250 0.750
0.250 0.750 0.250
0.250 0.750 0.750
0.750 0.250 0.250
0.750 0.250 0.750
0.750 0.750 0.250
0.750 0.750 0.750
0.000 0.000 0.000
0.000 0.500 0.500
0.500 0.000 0.500
0.500 0.500 0.000
0.000 0.000 0.500
0.000 0.500 0.000
0.500 0.000 0.000
0.500 0.500 0.500
```

=====

Stability summary: most stable A, least stable B.

=====

A.
Material: Ho2PuOs
Method: DFT, PBE
State: relaxed

symmetry = No. 166
total magnetic moment = 18.368 Bohr magnetons per cell
DOS at the Fermi energy = 10.577 states/eV/f.u.

```
Ho2PuOs
1.0
3.331 0.000 0.000
-1.665 2.885 0.000
0.000 0.000 32.462
Ho Pu Os
6 3 3
direct
0.000 0.000 0.103
0.000 0.000 0.897
0.333 0.667 0.564
0.333 0.667 0.770
0.667 0.333 0.230
0.667 0.333 0.436
0.000 0.000 0.000
0.333 0.667 0.667
0.667 0.333 0.333
0.000 0.000 0.500
0.333 0.667 0.167
0.667 0.333 0.833
```

=====

B.
Material: Ho2PuOs
Method: DFT, PBE
State: relaxed

symmetry = No. 123
total magnetic moment = 6.865 Bohr magnetons per cell
DOS at the Fermi energy = 8.127 states/eV/f.u.

```
Ho2PuOs
1.0
3.378 0.000 0.000
0.000 3.378 0.000
0.000 0.000 8.842
Ho Pu Os
2 1 1
direct
0.000 0.000 0.188
0.000 0.000 0.812
0.500 0.500 0.500
0.500 0.500 0.000
```

=====

Stability summary: most stable B, least stable A.

=====

A.
Material: Ho8Os2Rh
Method: DFT, PBE
State: relaxed

symmetry = No. 12
total magnetic moment = 0.000 Bohr magnetons per cell
DOS at the Fermi energy = 9.810 states/eV/f.u.

```
Ho8Os2Rh
1.0
8.735 -2.363 0.000
8.735 2.363 0.000
-2.019 0.000 6.629
Ho Os Rh
8 2 1
direct
0.030 0.030 0.290
0.206 0.206 0.814
0.331 0.331 0.536
0.402 0.402 0.034
0.598 0.598 0.966
0.669 0.669 0.464
0.794 0.794 0.186
0.970 0.970 0.710
0.185 0.185 0.202
0.815 0.815 0.798
0.500 0.500 0.500
```

=====

B.
Material: Ho8Os2Rh
Method: DFT, PBE
State: relaxed

symmetry = No. 8
total magnetic moment = 0.000 Bohr magnetons per cell
DOS at the Fermi energy = 8.184 states/eV/f.u.

```
Ho8Os2Rh
1.0
4.190 -6.261 0.000
4.190 6.261 0.000
-1.825 0.000 5.430
Ho Os Rh
8 2 1
direct
0.000 0.000 0.000
0.029 0.289 0.598
0.149 0.581 0.195
0.289 0.029 0.598
0.438 0.699 0.796
0.581 0.149 0.195
0.699 0.438 0.796
0.726 0.726 0.386
0.051 0.673 0.692
0.673 0.051 0.692
0.364 0.364 0.136
```

=====

Stability summary: most stable A, least stable B.

=====

A.
Material: HoScOsRh
Method: DFT, PBE
State: relaxed

symmetry = No. 216
total magnetic moment = 0.000 Bohr magnetons per cell
DOS at the Fermi energy = 2.501 states/eV/f.u.

```
HoScOsRh
1.0
6.624 0.000 0.000
0.000 6.624 0.000
0.000 0.000 6.624
Ho Sc Os Rh
4 4 4 4
direct
0.000 0.000 0.000
0.000 0.500 0.500
0.500 0.000 0.500
0.500 0.500 0.000
0.000 0.000 0.500
0.000 0.500 0.000
0.500 0.000 0.000
0.500 0.500 0.500
0.250 0.250 0.250
0.250 0.750 0.750
0.750 0.250 0.750
0.750 0.750 0.250
0.250 0.250 0.750
0.250 0.750 0.250
0.750 0.250 0.250
0.750 0.750 0.750
```

=====

B.
Material: HoScOsRh
Method: DFT, PBE
State: relaxed

symmetry = No. 99
total magnetic moment = 0.000 Bohr magnetons per cell
DOS at the Fermi energy = 1.758 states/eV/f.u.

```
HoScOsRh
1.0
3.310 0.000 0.000
0.000 3.310 0.000
0.000 0.000 6.634
Ho Sc Os Rh
1 1 1 1
direct
0.000 0.000 0.000
0.000 0.000 0.511
0.500 0.500 0.739
0.500 0.500 0.266
```

=====

Stability summary: most stable B, least stable A.

=====

A.
Material: Ho8Os2Ru
Method: DFT, PBE
State: relaxed

symmetry = No. 8
total magnetic moment = 0.000 Bohr magnetons per cell
DOS at the Fermi energy = 6.281 states/eV/f.u.

```
Ho8Os2Ru
1.0
4.159 -6.300 0.000
4.159 6.300 0.000
-1.919 0.000 5.389
Ho Os Ru
8 2 1
direct
0.000 0.000 0.000
0.025 0.283 0.595
0.148 0.572 0.193
0.283 0.025 0.595
0.436 0.694 0.793
0.572 0.148 0.193
0.694 0.436 0.793
0.717 0.717 0.385
0.050 0.668 0.692
0.668 0.050 0.692
0.359 0.359 0.184
```

=====

B.
Material: Ho8Os2Ru
Method: DFT, PBE
State: relaxed

symmetry = No. 12
total magnetic moment = 0.000 Bohr magnetons per cell
DOS at the Fermi energy = 9.614 states/eV/f.u.

```
Ho8Os2Ru
1.0
8.705 -2.365 0.000
8.705 2.365 0.000
-2.048 0.000 6.602
Ho Os Ru
8 2 1
direct
0.030 0.030 0.294
0.205 0.205 0.813
0.332 0.332 0.537
0.402 0.402 0.037
0.598 0.598 0.963
0.668 0.668 0.463
0.795 0.795 0.187
0.970 0.970 0.706
0.184 0.184 0.199
0.816 0.816 0.801
0.500 0.500 0.500
```

=====

Stability summary: most stable B, least stable A.

=====

A.
Material: Ho8OsRu2
Method: DFT, PBE
State: relaxed

symmetry = No. 8
total magnetic moment = 0.000 Bohr magnetons per cell
DOS at the Fermi energy = 9.529 states/eV/f.u.

```
Ho8OsRu2
1.0
4.130 -6.283 0.000
4.130 6.283 0.000
-1.951 0.000 5.486
Ho Os Ru
8 1 2
direct
0.000 0.000 0.000
0.025 0.282 0.582
0.138 0.566 0.184
0.282 0.025 0.582
0.434 0.691 0.772
0.566 0.138 0.184
0.691 0.434 0.772
0.716 0.716 0.374
0.357 0.357 0.321
0.054 0.675 0.692
0.675 0.054 0.692
```

=====

B.
Material: Ho8OsRu2
Method: DFT, PBE
State: relaxed

symmetry = No. 12
total magnetic moment = 0.000 Bohr magnetons per cell
DOS at the Fermi energy = 9.601 states/eV/f.u.

```
Ho8OsRu2
1.0
8.639 -2.419 0.000
8.639 2.419 0.000
-2.083 0.000 6.490
Ho Os Ru
8 1 2
direct
0.030 0.030 0.294
0.203 0.203 0.813
0.333 0.333 0.537
0.404 0.404 0.050
0.596 0.596 0.950
0.667 0.667 0.463
0.797 0.797 0.187
0.970 0.970 0.706
0.500 0.500 0.500
0.185 0.185 0.197
0.815 0.815 0.803
```

=====

Stability summary: most stable B, least stable A.